# Hg3BrF5 | Alexandria | PBE | relaxed
# - Raw total energy: -23.02 eV/f.u.
# - Symmetry: P2/m (10)
# - Magnetic moment: 0.000 μB per atom
data_Hg3BrF5
_chemical_formula_sum 'Hg6 Br2 F10'
_cell_length_a 5.673
_cell_length_b 3.814
_cell_length_c 15.996
_cell_angle_alpha 90.00
_cell_angle_beta 94.64
_cell_angle_gamma 90.00
_symmetry_space_group_name_H-M 'P 1'
_symmetry_Int_Tables_number 1
loop_
_symmetry_equiv_pos_as_xyz
'x,y,z'
loop_
_atom_site_label
_atom_site_type_symbol
_atom_site_fract_x
_atom_site_fract_y
_atom_site_fract_z
Hg1 Hg 0.000 0.000 0.000
Hg2 Hg 0.035 0.000 0.653
Hg3 Hg 0.463 0.500 0.848
Hg4 Hg 0.500 0.500 0.500
Hg5 Hg 0.537 0.500 0.152
Hg6 Hg 0.965 0.000 0.347
Br1 Br 0.247 0.000 0.216
Br2 Br 0.753 0.000 0.784
F1 F 0.164 0.500 0.410
F2 F 0.220 0.500 0.718
F3 F 0.232 0.500 0.036
F4 F 0.277 0.000 0.894
F5 F 0.326 0.000 0.561
F6 F 0.674 0.000 0.439
F7 F 0.723 0.000 0.106
F8 F 0.768 0.500 0.964
F9 F 0.780 0.500 0.282
F10 F 0.836 0.500 0.590